Material: CdSi2Ag
Method: DFT, PBE
State: relaxed

Output
**Formation energy without anion corrections**: 0.445 eV/atom

```
data_CdSi2Ag
_chemical_formula_sum 'Cd1 Si2 Ag1'
_symmetry_space_group_name_H-M 'P 4/m m m'
_symmetry_Int_Tables_number 123
_symmetry_space_group_name_Hall '-P 4 2'
_cell_length_a 3.598
_cell_length_b 3.598
_cell_length_c 5.839
_cell_angle_alpha 90.00
_cell_angle_beta 90.00
_cell_angle_gamma 90.00
loop_
_atom_site_label
_atom_site_fract_x
_atom_site_fract_y
_atom_site_fract_z
Cd1 0.000 0.000 0.000
Si1 0.500 0.500 0.284
Ag1 0.000 0.000 0.500
```

---

Material: CdSiAg
Method: DFT, PBE
State: relaxed

Output
**Formation energy without anion corrections**: 0.283 eV/atom

```
data_CdSiAg
_chemical_formula_sum 'Cd2 Si2 Ag2'
_symmetry_space_group_name_H-M 'I 4 m m'
_symmetry_Int_Tables_number 107
_symmetry_space_group_name_Hall 'I 4 -2'
_cell_length_a 2.971
_cell_length_b 2.971
_cell_length_c 12.716
_cell_angle_alpha 90.00
_cell_angle_beta 90.00
_cell_angle_gamma 90.00
loop_
_atom_site_label
_atom_site_fract_x
_atom_site_fract_y
_atom_site_fract_z
Cd1 0.000 0.000 0.000
Si1 0.000 0.000 0.324
Ag1 0.000 0.000 0.673
```

---

Material: Cd2Si2Ag
Method: DFT, PBE
State: relaxed

Output
**Formation energy without anion corrections**: 0.415 eV/atom

```
data_Cd2Si2Ag
_chemical_formula_sum 'Cd4 Si4 Ag2'
_symmetry_space_group_name_H-M 'I 4/m m m'
_symmetry_Int_Tables_number 139
_symmetry_space_group_name_Hall '-I 4 2'
_cell_length_a 4.393
_cell_length_b 4.393
_cell_length_c 10.945
_cell_angle_alpha 90.00
_cell_angle_beta 90.00
_cell_angle_gamma 90.00
loop_
_atom_site_label
_atom_site_fract_x
_atom_site_fract_y
_atom_site_fract_z
Cd1 0.000 0.500 0.250
Si1 0.000 0.000 0.104
Ag1 0.000 0.000 0.500
```

---

Material: CdSi2Ag
Method: DFT, PBE
State: relaxed

Output
**Formation energy without anion corrections**: 0.269 eV/atom

```
data_CdSi2Ag
_chemical_formula_sum 'Cd3 Si6 Ag3'
_symmetry_space_group_name_H-M 'R 3 m'
_symmetry_Int_Tables_number 160
_symmetry_space_group_name_Hall 'R 3 -2"'
_cell_length_a 3.1241
_cell_length_b 3.1241
_cell_length_c 25.2430
_cell_angle_alpha 90.00
_cell_angle_beta 90.00
_cell_angle_gamma 120.00
loop_
_atom_site_label
_atom_site_fract_x
_atom_site_fract_y
_atom_site_fract_z
Cd1 0.0000 0.0000 0.0000
Si1 0.0000 0.0000 0.2420
Si2 0.0000 0.0000 0.5069
Ag1 0.0000 0.0000 0.7599
```

---

Material: CdSi2Ag
Method: DFT, PBE
State: relaxed

Output
**Formation energy without anion corrections**: 0.360 eV/atom

```
data_CdSi2Ag
_chemical_formula_sum 'Cd2 Si4 Ag2'
_symmetry_space_group_name_H-M 'C m m 2'
_symmetry_Int_Tables_number 35
_symmetry_space_group_name_Hall 'C 2 -2'
_cell_length_a 3.460
_cell_length_b 4.692
_cell_length_c 8.804
_cell_angle_alpha 90.00
_cell_angle_beta 90.00
_cell_angle_gamma 90.00
loop_
_atom_site_label
_atom_site_fract_x
_atom_site_fract_y
_atom_site_fract_z
Cd1 0.000 0.000 0.000
Si1 0.000 0.000 0.510
Si2 0.000 0.500 0.723
Ag1 0.000 0.500 0.269
```

---

Material: CdSiAg
Method: DFT, PBE
State: relaxed

Output
**Formation energy without anion corrections**: 0.306 eV/atom

```
data_CdSiAg
_chemical_formula_sum 'Cd1 Si1 Ag1'
_symmetry_space_group_name_H-M 'P 3 m 1'
_symmetry_Int_Tables_number 156
_symmetry_space_group_name_Hall 'P 3 -2"'
_cell_length_a 4.7375
_cell_length_b 4.7375
_cell_length_c 2.9107
_cell_angle_alpha 90.00
_cell_angle_beta 90.00
_cell_angle_gamma 120.00
loop_
_atom_site_label
_atom_site_fract_x
_atom_site_fract_y
_atom_site_fract_z
Cd1 0.0000 0.0000 0.0000
Si1 0.6667 0.3333 0.4967
Ag1 0.3333 0.6667 0.5000
```

---

Material: CdSi4Ag
Method: DFT, PBE
State: relaxed

Output
**Formation energy without anion corrections**: 0.505 eV/atom

```
data_CdSi4Ag
_chemical_formula_sum 'Cd4 Si16 Ag4'
_symmetry_space_group_name_H-M 'F -4 3 m'
_symmetry_Int_Tables_number 216
_symmetry_space_group_name_Hall 'F -4 2 3'
_cell_length_a 7.465
_cell_length_b 7.465
_cell_length_c 7.465
_cell_angle_alpha 90.00
_cell_angle_beta 90.00
_cell_angle_gamma 90.00
loop_
_atom_site_label
_atom_site_fract_x
_atom_site_fract_y
_atom_site_fract_z
Cd1 0.000 0.000 0.000
Si1 0.124 0.124 0.624
Ag1 0.250 0.250 0.250
```

---

Material: CdSiAg2Te4
Method: DFT, PBE
State: relaxed

Output
**Formation energy without anion corrections**: -0.172 eV/atom

```
data_CdSiAg2Te4
_chemical_formula_sum 'Cd2 Si2 Ag4 Te8'
_symmetry_space_group_name_H-M 'I -4 2 m'
_symmetry_Int_Tables_number 121
_symmetry_space_group_name_Hall 'I -4 2'
_cell_length_a 6.367
_cell_length_b 6.367
_cell_length_c 12.749
_cell_angle_alpha 90.00
_cell_angle_beta 90.00
_cell_angle_gamma 90.00
loop_
_atom_site_label
_atom_site_fract_x
_atom_site_fract_y
_atom_site_fract_z
Cd1 0.000 0.000 0.000
Si1 0.000 0.000 0.500
Ag1 0.000 0.500 0.250
Te1 0.227 0.227 0.378
```

---

Material: CdSi2AgTe6
Method: DFT, PBE
State: relaxed

Output
**Formation energy without anion corrections**: -0.042 eV/atom

```
data_CdSi2AgTe6
_chemical_formula_sum 'Cd4 Si8 Ag4 Te24'
_symmetry_space_group_name_H-M 'C 1 2/c 1'
_symmetry_Int_Tables_number 15
_symmetry_space_group_name_Hall '-C 2yc'
_cell_length_a 14.240
_cell_length_b 14.756
_cell_length_c 7.081
_cell_angle_alpha 90.00
_cell_angle_beta 115.19
_cell_angle_gamma 90.00
loop_
_atom_site_label
_atom_site_fract_x
_atom_site_fract_y
_atom_site_fract_z
Cd1 0.000 0.197 0.250
Si1 0.212 0.425 0.281
Ag1 0.000 0.252 0.750
Te1 0.094 0.080 0.619
Te2 0.134 0.439 0.545
Te3 0.157 0.265 0.140
```

---

Material: CdSiAgW2
Method: DFT, PBE
State: relaxed

Output
**Formation energy without anion corrections**: 2.645 eV/atom

```
data_CdSiAgW2
_chemical_formula_sum 'Cd1 Si1 Ag1 W2'
_symmetry_space_group_name_H-M 'P 4/m m m'
_symmetry_Int_Tables_number 123
_symmetry_space_group_name_Hall '-P 4 2'
_cell_length_a 5.022
_cell_length_b 5.022
_cell_length_c 4.874
_cell_angle_alpha 90.00
_cell_angle_beta 90.00
_cell_angle_gamma 90.00
loop_
_atom_site_label
_atom_site_fract_x
_atom_site_fract_y
_atom_site_fract_z
Cd1 0.000 0.000 0.000
Si1 0.500 0.500 0.500
Ag1 0.000 0.000 0.500
W1 0.000 0.500 0.000
```

---

Material: SmCd2Ag4
Method: DFT, PBE
State: relaxed

Output
**Raw total energy**: -2.756 eV per atom

```
data_SmCd2Ag4
_chemical_formula_sum 'Sm2 Cd4 Ag8'
_symmetry_space_group_name_H-M 'C 1 2/m 1'
_symmetry_Int_Tables_number 12
_symmetry_space_group_name_Hall '-C 2y'
_cell_length_a 9.101
_cell_length_b 7.190
_cell_length_c 5.603
_cell_angle_alpha 90.00
_cell_angle_beta 126.88
_cell_angle_gamma 90.00
loop_
_atom_site_label
_atom_site_fract_x
_atom_site_fract_y
_atom_site_fract_z
Sm1 0.000 0.000 0.000
Cd1 0.002 0.500 0.753
Ag1 0.193 0.194 0.693
```

---

Material: Sm6CdAg5
Method: DFT, PBE
State: relaxed

Output
**Raw total energy**: -3.907 eV per atom

```
data_Sm6CdAg5
_chemical_formula_sum 'Sm6 Cd1 Ag5'
_symmetry_space_group_name_H-M 'P 1 2/m 1'
_symmetry_Int_Tables_number 10
_symmetry_space_group_name_Hall '-P 2y'
_cell_length_a 5.287
_cell_length_b 7.408
_cell_length_c 8.364
_cell_angle_alpha 90.00
_cell_angle_beta 108.53
_cell_angle_gamma 90.00
loop_
_atom_site_label
_atom_site_fract_x
_atom_site_fract_y
_atom_site_fract_z
Sm1 0.000 0.244 0.000
Sm2 0.332 0.248 0.662
Cd1 0.500 0.500 0.000
Ag1 0.160 0.500 0.323
Ag2 0.165 0.000 0.332
Ag3 0.500 0.000 0.000
```

---

Material: Sm3Cd5Ag2
Method: DFT, PBE
State: relaxed

Output
**Raw total energy**: -2.585 eV per atom

```
data_Sm3Cd5Ag2
_chemical_formula_sum 'Sm12 Cd20 Ag8'
_symmetry_space_group_name_H-M 'I b a m'
_symmetry_Int_Tables_number 72
_symmetry_space_group_name_Hall '-I 2 2c'
_cell_length_a 12.305
_cell_length_b 13.211
_cell_length_c 6.283
_cell_angle_alpha 90.00
_cell_angle_beta 90.00
_cell_angle_gamma 90.00
loop_
_atom_site_label
_atom_site_fract_x
_atom_site_fract_y
_atom_site_fract_z
Sm1 0.000 0.000 0.250
Sm2 0.126 0.260 0.000
Cd1 0.000 0.500 0.250
Cd2 0.126 0.355 0.500
Cd3 0.246 0.500 0.250
Ag1 0.134 0.150 0.500
```

---

Material: SmCdAg2
Method: DFT, PBE
State: relaxed

Output
**Raw total energy**: -3.099 eV per atom

```
data_SmCdAg2
_chemical_formula_sum 'Sm4 Cd4 Ag8'
_symmetry_space_group_name_H-M 'F m -3 m'
_symmetry_Int_Tables_number 225
_symmetry_space_group_name_Hall '-F 4 2 3'
_cell_length_a 7.088
_cell_length_b 7.088
_cell_length_c 7.088
_cell_angle_alpha 90.00
_cell_angle_beta 90.00
_cell_angle_gamma 90.00
loop_
_atom_site_label
_atom_site_fract_x
_atom_site_fract_y
_atom_site_fract_z
Sm1 0.000 0.000 0.000
Cd1 0.000 0.000 0.500
Ag1 0.250 0.250 0.250
```

---

Material: SmCd3Ag8
Method: DFT, PBE
State: relaxed

Output
**Raw total energy**: -2.586 eV per atom

```
data_SmCd3Ag8
_chemical_formula_sum 'Sm1 Cd3 Ag8'
_symmetry_space_group_name_H-M 'P 3 m 1'
_symmetry_Int_Tables_number 156
_symmetry_space_group_name_Hall 'P 3 -2"'
_cell_length_a 5.6405
_cell_length_b 5.6405
_cell_length_c 8.9187
_cell_angle_alpha 90.00
_cell_angle_beta 90.00
_cell_angle_gamma 120.00
loop_
_atom_site_label
_atom_site_fract_x
_atom_site_fract_y
_atom_site_fract_z
Sm1 0.0000 0.0000 0.0000
Cd1 0.0000 0.0000 0.3880
Cd2 0.6667 0.3333 0.4972
Cd3 0.6667 0.3333 0.8673
Ag1 0.1634 0.3269 0.6848
Ag2 0.3333 0.6667 0.4358
Ag3 0.3333 0.6667 0.9376
Ag4 0.5043 0.0085 0.1900
```

---

Material: Sm2Cd4Ag
Method: DFT, PBE
State: relaxed

Output
**Raw total energy**: -2.561 eV per atom

```
data_Sm2Cd4Ag
_chemical_formula_sum 'Sm4 Cd8 Ag2'
_symmetry_space_group_name_H-M 'C 1 2/m 1'
_symmetry_Int_Tables_number 12
_symmetry_space_group_name_Hall '-C 2y'
_cell_length_a 8.514
_cell_length_b 4.925
_cell_length_c 8.744
_cell_angle_alpha 90.00
_cell_angle_beta 109.34
_cell_angle_gamma 90.00
loop_
_atom_site_label
_atom_site_fract_x
_atom_site_fract_y
_atom_site_fract_z
Sm1 0.072 0.000 0.215
Cd1 0.175 0.500 0.025
Cd2 0.200 0.000 0.600
Ag1 0.000 0.500 0.500
```

---

Material: Sm6CdAg6
Method: DFT, PBE
State: relaxed

Output
**Raw total energy**: -3.703 eV per atom

```
data_Sm6CdAg6
_chemical_formula_sum 'Sm6 Cd1 Ag6'
_symmetry_space_group_name_H-M 'P 6/m m m'
_symmetry_Int_Tables_number 191
_symmetry_space_group_name_Hall '-P 6 2'
_cell_length_a 5.9735
_cell_length_b 5.9735
_cell_length_c 10.8514
_cell_angle_alpha 90.00
_cell_angle_beta 90.00
_cell_angle_gamma 120.00
loop_
_atom_site_label
_atom_site_fract_x
_atom_site_fract_y
_atom_site_fract_z
Sm1 0.0000 0.0000 0.1692
Sm2 0.3333 0.6667 0.0000
Sm3 0.3333 0.6667 0.5000
Cd1 0.0000 0.0000 0.5000
Ag1 0.0000 0.5000 0.2589
```

---

Material: SmCd2Ag2
Method: DFT, PBE
State: relaxed

Output
**Raw total energy**: -2.665 eV per atom

```
data_SmCd2Ag2
_chemical_formula_sum 'Sm2 Cd4 Ag4'
_symmetry_space_group_name_H-M 'P -1'
_symmetry_Int_Tables_number 2
_symmetry_space_group_name_Hall '-P 1'
_cell_length_a 4.949
_cell_length_b 5.806
_cell_length_c 8.798
_cell_angle_alpha 78.88
_cell_angle_beta 74.18
_cell_angle_gamma 68.70
loop_
_atom_site_label
_atom_site_fract_x
_atom_site_fract_y
_atom_site_fract_z
Sm1 0.208 0.326 0.292
Cd1 0.116 0.085 0.694
Cd2 0.442 0.236 0.877
Ag1 0.151 0.730 0.966
Ag2 0.376 0.751 0.460
```

---

Material: Sm3Cd2Ag
Method: DFT, PBE
State: relaxed

Output
**Raw total energy**: -3.442 eV per atom

```
data_Sm3Cd2Ag
_chemical_formula_sum 'Sm3 Cd2 Ag1'
_symmetry_space_group_name_H-M 'P 4/m m m'
_symmetry_Int_Tables_number 123
_symmetry_space_group_name_Hall '-P 4 2'
_cell_length_a 3.776
_cell_length_b 3.776
_cell_length_c 11.347
_cell_angle_alpha 90.00
_cell_angle_beta 90.00
_cell_angle_gamma 90.00
loop_
_atom_site_label
_atom_site_fract_x
_atom_site_fract_y
_atom_site_fract_z
Sm1 0.000 0.000 0.000
Sm2 0.000 0.000 0.339
Cd1 0.500 0.500 0.167
Ag1 0.500 0.500 0.500
```

---

Material: Sm3Cd3Ag8
Method: DFT, PBE
State: relaxed

Output
**Raw total energy**: -3.028 eV per atom

```
data_Sm3Cd3Ag8
_chemical_formula_sum 'Sm6 Cd6 Ag16'
_symmetry_space_group_name_H-M 'I m m m'
_symmetry_Int_Tables_number 71
_symmetry_space_group_name_Hall '-I 2 2'
_cell_length_a 4.654
_cell_length_b 10.010
_cell_length_c 13.486
_cell_angle_alpha 90.00
_cell_angle_beta 90.00
_cell_angle_gamma 90.00
loop_
_atom_site_label
_atom_site_fract_x
_atom_site_fract_y
_atom_site_fract_z
Sm1 0.000 0.000 0.000
Sm2 0.000 0.000 0.292
Cd1 0.000 0.190 0.500
Cd2 0.000 0.500 0.000
Ag1 0.000 0.283 0.137
Ag2 0.000 0.365 0.339
```